The following is a PBE calculation of an optimized crystal structure of ZnGeI3, from the Alexandria database.

- E: -0.14717 Ry per atom
- DOS at the Fermi energy: 10.158 states/eV/cell
- Crystal system: cubic
- Raw formation energy: 0.106 eV/atom
- Relative energy among the computed polymorphs: 0 meV per atom

a = 5.770 Å, b = 5.770 Å, c = 5.770 Å
α = 90.00°, β = 90.00°, γ = 90.00°
Element x y z (fractional)
I: 0.000 0.500 0.000
I: 0.000 0.000 0.500
I: 0.500 0.000 0.000
Ge: 0.000 0.000 0.000
Zn: 0.500 0.500 0.500

The following is a PBE calculation of an optimized crystal structure of ZnGe2I, from the Alexandria database.

- E: -0.18045 Ry per atom
- DOS at the Fermi energy: 1.884 states/eV/cell
- Crystal system: cubic
- Raw formation energy: 0.560 eV/atom
- Relative energy among the computed polymorphs: 145 meV per atom

a = 5.063 Å, b = 5.063 Å, c = 5.063 Å
α = 60.00°, β = 60.00°, γ = 60.00°
Element x y z (fractional)
I: 0.500 0.500 0.500
Ge: 0.250 0.250 0.250
Ge: 0.750 0.750 0.750
Zn: 0.000 0.000 0.000

The following is a PBE calculation of an optimized crystal structure of Zn2GeI8, from the Alexandria database.

- E: -0.15704 Ry per atom
- Crystal system: monoclinic
- Raw formation energy: -0.358 eV/atom

a = 7.197 Å, b = 9.196 Å, c = 9.196 Å
α = 97.15°, β = 77.55°, γ = 77.55°
Element x y z (fractional)
Zn: 0.693 0.815 0.815
Zn: 0.307 0.185 0.185
Ge: 0.000 0.000 0.000
I: 0.183 0.956 0.262
I: 0.183 0.262 0.956
I: 0.817 0.044 0.738
I: 0.203 0.431 0.431
I: 0.817 0.738 0.044
I: 0.354 0.776 0.776
I: 0.646 0.224 0.224
I: 0.797 0.569 0.569

The following is a PBE calculation of an optimized crystal structure of Zn2Ge2I, from the Alexandria database.

- E: -0.18027 Ry per atom
- DOS at the Fermi energy: 1.962 states/eV/cell
- Crystal system: tetragonal
- Raw formation energy: 0.214 eV/atom

a = 3.876 Å, b = 3.876 Å, c = 7.769 Å
α = 75.56°, β = 75.56°, γ = 90.00°
Element x y z (fractional)
I: 0.000 0.000 0.000
Ge: 0.750 0.250 0.500
Ge: 0.250 0.750 0.500
Zn: 0.389 0.389 0.222
Zn: 0.611 0.611 0.778

The following is a PBE calculation of an optimized crystal structure of ZrZnGeI2, from the Alexandria database.

- E: -0.25014 Ry per atom
- DOS at the Fermi energy: 4.516 states/eV/cell
- Crystal system: tetragonal
- Raw formation energy: 0.105 eV/atom

a = 5.742 Å, b = 5.409 Å, c = 5.742 Å
α = 90.00°, β = 90.00°, γ = 90.00°
Element x y z (fractional)
I: 0.000 0.000 0.500
I: 0.500 0.000 0.000
Ge: 0.000 0.500 0.000
Zn: 0.500 0.500 0.500
Zr: 0.000 0.000 0.000

The following is a PBE calculation of an optimized crystal structure of ZrGe2I8, from the Alexandria database.

- E: -0.24046 Ry per atom
- Crystal system: monoclinic
- Raw formation energy: -0.528 eV/atom

a = 7.952 Å, b = 8.555 Å, c = 8.555 Å
α = 83.47°, β = 101.98°, γ = 101.98°
Element x y z (fractional)
Zr: 0.000 0.000 0.000
Ge: 0.606 0.157 0.157
Ge: 0.394 0.843 0.843
I: 0.204 0.108 0.751
I: 0.204 0.751 0.108
I: 0.796 0.892 0.249
I: 0.214 0.638 0.638
I: 0.796 0.249 0.892
I: 0.243 0.213 0.213
I: 0.757 0.787 0.787
I: 0.786 0.362 0.362

The following is a PBE calculation of an optimized crystal structure of ZrGe3I, from the Alexandria database.

- E: -0.31691 Ry per atom
- DOS at the Fermi energy: 8.703 states/eV/cell
- Crystal system: cubic
- Raw formation energy: 0.478 eV/atom
- Relative energy among the computed polymorphs: 0 meV per atom

a = 5.344 Å, b = 5.344 Å, c = 5.344 Å
α = 90.00°, β = 90.00°, γ = 90.00°
Element x y z (fractional)
I: 0.500 0.500 0.500
Ge: 0.000 0.500 0.000
Ge: 0.000 0.000 0.500
Ge: 0.500 0.000 0.000
Zr: 0.000 0.000 0.000

The following is a PBE calculation of an optimized crystal structure of Zr2GeI, from the Alexandria database.

- E: -0.40837 Ry per atom
- DOS at the Fermi energy: 7.896 states/eV/cell
- Crystal system: tetragonal
- Raw formation energy: 0.260 eV/atom
- Relative energy among the computed polymorphs: 530 meV per atom

a = 5.921 Å, b = 5.921 Å, c = 8.220 Å
α = 68.89°, β = 68.89°, γ = 90.00°
Element x y z (fractional)
I: 0.000 0.000 0.000
I: 0.750 0.250 0.500
Ge: 0.500 0.500 0.000
Ge: 0.250 0.750 0.500
Zr: 0.570 0.125 0.250
Zr: 0.180 0.625 0.250
Zr: 0.375 0.430 0.750
Zr: 0.875 0.820 0.750

The following is a PBE calculation of an optimized crystal structure of Zr2GeI, from the Alexandria database.

- E: -0.44733 Ry per atom
- DOS at the Fermi energy: 2.511 states/eV/cell
- Crystal system: cubic
- Raw formation energy: -0.270 eV/atom
- Relative energy among the computed polymorphs: 0 meV per atom

a = 4.941 Å, b = 4.941 Å, c = 4.941 Å
α = 60.00°, β = 60.00°, γ = 60.00°
Element x y z (fractional)
I: 0.500 0.500 0.500
Ge: 0.000 0.000 0.000
Zr: 0.250 0.250 0.250
Zr: 0.750 0.750 0.750

The following is a PBE calculation of an optimized crystal structure of Zr6GeI14, from the Alexandria database.

- E: -0.34153 Ry per atom
- Crystal system: orthorhombic
- Raw formation energy: -0.951 eV/atom

a = 11.031 Å, b = 11.031 Å, c = 13.220 Å
α = 90.00°, β = 90.00°, γ = 95.90°
Element x y z (fractional)
Zr: 0.954 0.181 0.117
Zr: 0.046 0.819 0.883
Zr: 0.546 0.319 0.617
Zr: 0.681 0.454 0.383
Zr: 0.454 0.681 0.383
Zr: 0.319 0.546 0.617
Zr: 0.819 0.046 0.883
Zr: 0.181 0.954 0.117
Zr: 0.355 0.355 0.394
Zr: 0.645 0.645 0.606
Zr: 0.145 0.145 0.894
Zr: 0.855 0.855 0.106
Ge: 0.000 0.000 0.000
Ge: 0.500 0.500 0.500
I: 0.288 0.534 0.250
I: 0.712 0.466 0.750
I: 0.212 0.966 0.750
I: 0.034 0.788 0.250
I: 0.788 0.034 0.250
I: 0.966 0.212 0.750
I: 0.466 0.712 0.750
I: 0.534 0.288 0.250
I: 0.116 0.364 0.009
I: 0.884 0.636 0.991
I: 0.384 0.136 0.509
I: 0.864 0.616 0.491
I: 0.616 0.864 0.491
I: 0.136 0.384 0.509
I: 0.636 0.884 0.991
I: 0.364 0.116 0.009
I: 0.900 0.400 0.250
I: 0.100 0.600 0.750
I: 0.600 0.100 0.750
I: 0.400 0.900 0.250
I: 0.750 0.250 0.000
I: 0.250 0.750 0.000
I: 0.750 0.250 0.500
I: 0.250 0.750 0.500
I: 0.155 0.155 0.265
I: 0.845 0.845 0.735
I: 0.345 0.345 0.765
I: 0.655 0.655 0.235

The following is a PBE calculation of an optimized crystal structure of ZrGe3I, from the Alexandria database.

- E: -0.25617 Ry per atom
- DOS at the Fermi energy: 5.493 states/eV/cell
- Crystal system: cubic
- Raw formation energy: 1.305 eV/atom
- Relative energy among the computed polymorphs: 826 meV per atom

a = 5.277 Å, b = 5.277 Å, c = 5.277 Å
α = 90.00°, β = 90.00°, γ = 90.00°
Element x y z (fractional)
I: 0.000 0.000 0.000
Ge: 0.000 0.500 0.000
Ge: 0.000 0.000 0.500
Ge: 0.500 0.000 0.000
Zr: 0.500 0.500 0.500

The following is a PBE calculation of an optimized crystal structure of In5Ge, from the Alexandria database.

- E: -0.21830 Ry per atom
- DOS at the Fermi energy: 2.260 states/eV/cell
- DFT formation energy: 81 meV/atom
- Crystal system: orthorhombic

a = 3.682 Å, b = 5.142 Å, c = 8.663 Å
α = 107.27°, β = 90.00°, γ = 90.00°
Element x y z (fractional)
Ge: 0.000 0.000 0.000
In: 0.000 0.682 0.365
In: 0.000 0.318 0.635
In: 0.500 0.500 0.000
In: 0.500 0.143 0.285
In: 0.500 0.857 0.715